VASP calculation (PBE) on Pm4Dy19Y6 after structural relaxation.

The value obtained for the magnetization is 1.1 μB/cell. As for the formation energy: 0.389 eV/atom.

abc: 10.811 10.811 10.811
angles: 109.47 109.47 109.47
Last column: magnetic moment on the atom in μB.
Sites, in units of the cell vectors:
1 Dy 0.462 0.677 0.660  0.00
2 Dy 0.660 0.462 0.677  0.00
3 Dy 0.000 0.000 0.000  0.04
4 Dy 0.677 0.660 0.462  0.00
5 Dy 0.000 0.259 0.259  0.05
6 Dy 0.000 0.741 0.741  0.05
7 Dy 0.018 0.802 0.340  0.00
8 Dy 0.323 0.785 0.982  0.00
9 Dy 0.259 0.259 0.000  0.05
10 Dy 0.198 0.215 0.538  0.00
11 Dy 0.785 0.982 0.323  0.00
12 Dy 0.982 0.323 0.785  0.00
13 Dy 0.741 0.741 0.000  0.05
14 Dy 0.538 0.198 0.215  0.00
15 Dy 0.340 0.018 0.802  0.00
16 Dy 0.802 0.340 0.018  0.00
17 Dy 0.741 0.000 0.741  0.05
18 Dy 0.259 0.000 0.259  0.05
19 Dy 0.215 0.538 0.198  0.00
20 Y 0.128 0.628 0.500  0.06
21 Y 0.628 0.500 0.128  0.06
22 Y 0.500 0.128 0.628  0.06
23 Y 0.872 0.372 0.500  0.06
24 Y 0.500 0.872 0.372  0.06
25 Y 0.372 0.500 0.872  0.06
26 Pm 0.000 0.000 0.640  0.01
27 Pm 0.640 0.000 0.000  0.01
28 Pm 0.360 0.360 0.360  0.01
29 Pm 0.000 0.640 0.000  0.01

---

VASP calculation (PBE) on Pm10DyY4 after structural relaxation.

The value obtained for the magnetization is 0.0 μB/cell. As for the formation energy: 0.725 eV/atom.

abc: 7.806 9.576 9.576
angles: 80.44 65.95 65.95
Sites, in units of the cell vectors:
1 Pm 0.250 0.500 0.500
2 Pm 0.951 0.900 0.701
3 Pm 0.652 0.299 0.900
4 Pm 0.552 0.100 0.299
5 Pm 0.348 0.701 0.100
6 Pm 0.049 0.100 0.299
7 Pm 0.448 0.900 0.701
8 Pm 0.150 0.299 0.900
9 Pm 0.850 0.701 0.100
10 Pm 0.750 0.500 0.500
11 Y 0.201 0.400 0.199
12 Y 0.799 0.600 0.801
13 Y 0.400 0.801 0.400
14 Y 0.600 0.199 0.600
15 Dy 0.000 0.000 0.000

---

VASP calculation (PBE) on Pm2DyY after structural relaxation.

The value obtained for the magnetization is 0.0 μB/cell. As for the relative energy among the computed polymorphs: 106.8 meV per atom. As for the formation energy: 0.119 eV/atom.

abc: 5.740 5.740 5.740
angles: 60.00 60.00 60.00
Sites, in units of the cell vectors:
1 Pm 0.750 0.750 0.750
2 Pm 0.250 0.250 0.250
3 Y 0.500 0.500 0.500
4 Dy 0.000 0.000 0.000

---

VASP calculation (PBE) on Pm4DyY4 after structural relaxation.

The value obtained for the magnetization is 0.0 μB/cell. As for the formation energy: 0.017 eV/atom.

abc: 5.095 8.064 9.521
angles: 53.76 74.48 71.59
Sites, in units of the cell vectors:
1 Y 0.055 0.223 0.667
2 Y 0.611 0.446 0.333
3 Y 0.945 0.777 0.333
4 Y 0.389 0.554 0.667
5 Dy 0.500 0.000 0.000
6 Pm 0.166 0.669 0.999
7 Pm 0.278 0.111 0.333
8 Pm 0.834 0.331 0.001
9 Pm 0.722 0.889 0.667

---

VASP calculation (PBE) on Pm2Dy5Y4 after structural relaxation.

The value obtained for the magnetization is 0.0 μB/cell. As for the relative energy among the computed polymorphs: 0.0 meV per atom. As for the formation energy: 0.044 eV/atom.

abc: 3.550 8.808 11.718
angles: 95.17 90.01 101.63
Sites, in units of the cell vectors:
1 Pm 0.365 0.729 0.187
2 Pm 0.635 0.271 0.813
3 Y 0.732 0.463 0.354
4 Y 0.822 0.643 0.926
5 Y 0.268 0.537 0.646
6 Y 0.178 0.357 0.074
7 Dy 0.591 0.184 0.543
8 Dy 0.960 0.921 0.717
9 Dy 0.409 0.816 0.457
10 Dy 0.500 0.000 0.000
11 Dy 0.040 0.079 0.283

---

VASP calculation (PBE) on Pm12Dy7Y after structural relaxation.

The value obtained for the magnetization is 0.0 μB/cell. As for the relative energy among the computed polymorphs: 0.0 meV per atom. As for the formation energy: 0.246 eV/atom.

abc: 6.209 11.520 11.520
angles: 116.85 100.35 100.35
Sites, in units of the cell vectors:
1 Pm 0.912 0.413 0.826
2 Pm 0.588 0.647 0.001
3 Pm 0.941 0.354 0.353
4 Pm 0.499 0.412 0.587
5 Pm 0.412 0.353 0.999
6 Pm 0.587 0.999 0.646
7 Pm 0.413 0.001 0.354
8 Pm 0.913 0.826 0.412
9 Pm 0.501 0.588 0.413
10 Pm 0.088 0.587 0.174
11 Pm 0.059 0.646 0.647
12 Pm 0.087 0.174 0.588
13 Dy 0.127 0.999 0.754
14 Dy 0.373 0.246 0.245
15 Dy 0.873 0.245 0.999
16 Dy 0.873 0.001 0.246
17 Dy 0.627 0.754 0.755
18 Dy 0.500 0.000 0.000
19 Dy 0.127 0.755 0.001
20 Y 0.000 0.000 0.000

---

VASP calculation (PBE) on Pm9Dy4Y11 after structural relaxation.

The value obtained for the magnetization is 0.0 μB/cell. As for the formation energy: 0.047 eV/atom.

abc: 3.735 15.266 15.266
angles: 113.06 90.00 90.00
Sites, in units of the cell vectors:
1 Pm 0.500 0.631 0.163
2 Pm 0.500 0.837 0.369
3 Pm 0.500 0.932 0.786
4 Pm 0.500 0.369 0.837
5 Pm 0.500 0.068 0.214
6 Pm 0.500 0.786 0.932
7 Pm 0.500 0.500 0.500
8 Pm 0.500 0.163 0.631
9 Pm 0.500 0.214 0.068
10 Dy 0.500 0.245 0.446
11 Dy 0.500 0.554 0.755
12 Dy 0.500 0.755 0.554
13 Dy 0.500 0.446 0.245
14 Y 0.000 0.046 0.407
15 Y 0.000 0.709 0.709
16 Y 0.000 0.291 0.291
17 Y 0.000 0.367 0.633
18 Y 0.000 0.160 0.840
19 Y 0.000 0.407 0.046
20 Y 0.000 0.633 0.367
21 Y 0.000 0.000 0.000
22 Y 0.000 0.593 0.954
23 Y 0.000 0.954 0.593
24 Y 0.000 0.840 0.160

---

VASP calculation (PBE) on Pm4DyY10 after structural relaxation.

The value obtained for the magnetization is 0.0 μB/cell. As for the formation energy: 0.754 eV/atom.

abc: 7.753 9.497 9.497
angles: 80.41 65.91 65.91
Sites, in units of the cell vectors:
1 Pm 0.201 0.400 0.199
2 Pm 0.799 0.600 0.801
3 Pm 0.600 0.199 0.600
4 Pm 0.400 0.801 0.400
5 Y 0.552 0.100 0.298
6 Y 0.652 0.298 0.900
7 Y 0.250 0.500 0.500
8 Y 0.851 0.702 0.100
9 Y 0.448 0.900 0.702
10 Y 0.750 0.500 0.500
11 Y 0.149 0.298 0.900
12 Y 0.348 0.702 0.100
13 Y 0.951 0.900 0.702
14 Y 0.049 0.100 0.298
15 Dy 0.000 0.000 0.000

---

VASP calculation (PBE) on Pm6Dy2Y after structural relaxation.

The value obtained for the magnetization is 0.0 μB/cell. As for the relative energy among the computed polymorphs: 77.9 meV per atom. As for the formation energy: 0.207 eV/atom.

abc: 6.296 10.882 10.882
angles: 85.71 65.21 65.21
Sites, in units of the cell vectors:
1 Y 0.250 0.180 0.820
2 Y 0.750 0.820 0.180
3 Pm 0.818 0.989 0.423
4 Pm 0.182 0.011 0.577
5 Pm 0.318 0.423 0.989
6 Pm 0.267 0.849 0.938
7 Pm 0.233 0.062 0.151
8 Pm 0.767 0.938 0.849
9 Pm 0.902 0.438 0.675
10 Pm 0.598 0.325 0.562
11 Pm 0.402 0.675 0.438
12 Pm 0.098 0.562 0.325
13 Pm 0.733 0.151 0.062
14 Pm 0.682 0.577 0.011
15 Dy 0.798 0.370 0.233
16 Dy 0.298 0.233 0.370
17 Dy 0.702 0.767 0.630
18 Dy 0.202 0.630 0.767

---

VASP calculation (PBE) on Pm2DyY after structural relaxation.

The value obtained for the magnetization is 0.0 μB/cell. As for the relative energy among the computed polymorphs: 8.0 meV per atom. As for the formation energy: 0.020 eV/atom.

abc: 5.065 5.111 5.111
angles: 90.00 90.00 90.00
Sites, in units of the cell vectors:
1 Pm 0.000 0.000 0.500
2 Pm 0.000 0.500 0.000
3 Dy 0.500 0.500 0.500
4 Y 0.500 0.000 0.000

---

VASP calculation (PBE) on Pm4Dy3Y3 after structural relaxation.

The value obtained for the magnetization is 0.0 μB/cell. As for the formation energy: 0.086 eV/atom.

abc: 3.804 9.336 9.336
angles: 90.06 90.00 90.00
Sites, in units of the cell vectors:
1 Dy 0.500 0.332 0.331
2 Dy 0.500 0.831 0.169
3 Dy 0.500 0.669 0.668
4 Y 0.000 0.000 0.501
5 Y 0.500 0.169 0.831
6 Y 0.000 0.499 0.000
7 Pm 0.000 0.130 0.132
8 Pm 0.000 0.868 0.870
9 Pm 0.000 0.631 0.369
10 Pm 0.000 0.371 0.629

---

VASP calculation (PBE) on PmDy6Y4 after structural relaxation.

The value obtained for the magnetization is 0.0 μB/cell. As for the relative energy among the computed polymorphs: 0.0 meV per atom. As for the formation energy: 0.307 eV/atom.

abc: 9.754 9.754 9.754
angles: 56.77 140.72 140.72
Sites, in units of the cell vectors:
1 Y 0.000 0.012 0.638
2 Y 0.374 0.362 0.362
3 Y 0.626 0.988 0.988
4 Y 0.000 0.638 0.012
5 Dy 0.000 0.809 0.451
6 Dy 0.500 0.000 0.500
7 Dy 0.000 0.451 0.809
8 Dy 0.357 0.549 0.549
9 Dy 0.643 0.191 0.191
10 Dy 0.500 0.500 0.000
11 Pm 0.000 0.000 0.000